# ZrVOF2

A relaxed ZrVOF2 crystal (PBE with a Hubbard U, Alexandria).

Unit cell a=4.3345 b=4.3345 c=4.1468 alpha=90.00 beta=90.00 gamma=90.00
Closest atoms and distances in Å follow each position.
Positions (direct):
F  0.5000  0.0000  0.0000  2 Zr 2.17
F  0.0000  0.5000  0.0000  2 Zr 2.17
O  0.0000  0.0000  0.5000  2 Zr 2.07
V  0.5000  0.5000  0.5000  8 F 3.00, 4 O 3.06
Zr  0.0000  0.0000  0.0000  2 O 2.07, 4 F 2.17

Calculated values
Electronic total energy = -6.833 eV per atom
Total magnetic moment = 4.76 Bohr magnetons per cell